1.
K4PaBi3O8: relaxed, GGA-PBE.

## Properties
symmetry: C2/m
ΔE_f (raw): -1.69 eV/atom

```
data_K4PaBi3O8
_chemical_formula_sum 'K4 Pa1 Bi3 O8'
_symmetry_space_group_name_H-M 'P 1'
_symmetry_Int_Tables_number 1
_cell_length_a 7.5963
_cell_length_b 7.5521
_cell_length_c 7.4005
_cell_angle_alpha 119.45
_cell_angle_beta 120.88
_cell_angle_gamma 90.00
loop_
_symmetry_equiv_pos_as_xyz
'x,y,z'
loop_
_atom_site_label
_atom_site_type_symbol
_atom_site_fract_x
_atom_site_fract_y
_atom_site_fract_z
O1 O 0.7849 0.3074 0.5699
O2 O 0.2671 0.3139 0.5342
O3 O 0.2151 0.6926 0.4301
O4 O 0.7329 0.6861 0.4658
O5 O 0.7730 0.6830 0.9706
O6 O 0.1976 0.6830 0.9706
O7 O 0.2270 0.3170 0.0294
O8 O 0.8024 0.3170 0.0294
Bi1 Bi 0.5000 0.5000 0.5000
Bi2 Bi 0.5000 0.5000 0.0000
Bi3 Bi 0.0000 0.5000 0.5000
K1 K 0.5000 0.0000 0.0000
K2 K 0.5000 0.0000 0.5000
K3 K 0.0000 0.0000 0.0000
K4 K 0.0000 0.0000 0.5000
Pa1 Pa 0.0000 0.5000 0.0000
```

2.
BeNbH: relaxed, GGA-PBE.

## Properties
final energy: -5.95 eV/atom
symmetry: Cm

```
data_BeNbH
_chemical_formula_sum 'Be2 Nb2 H2'
_symmetry_space_group_name_H-M 'P 1'
_symmetry_Int_Tables_number 1
_cell_length_a 10.0197
_cell_length_b 5.0127
_cell_length_c 5.0127
_cell_angle_alpha 138.86
_cell_angle_beta 151.47
_cell_angle_gamma 28.53
loop_
_symmetry_equiv_pos_as_xyz
'x,y,z'
loop_
_atom_site_label
_atom_site_type_symbol
_atom_site_fract_x
_atom_site_fract_y
_atom_site_fract_z
Be1 Be 0.4583 0.4341 0.5659
Be2 Be 0.9511 0.0740 0.9260
Nb1 Nb 0.4629 0.1492 0.8508
Nb2 Nb 0.9571 0.3607 0.6393
H1 H 0.3820 0.6753 0.3247
H2 H 0.9593 0.7605 0.2395
```

3.
Li5CuAu: relaxed, GGA-PBE.

## Properties
energy of formation from the pure elements: -0.15 eV/atom
symmetry: C2/c

```
data_Li5CuAu
_chemical_formula_sum 'Li10 Cu2 Au2'
_symmetry_space_group_name_H-M 'P 1'
_symmetry_Int_Tables_number 1
_cell_length_a 5.3503
_cell_length_b 5.3503
_cell_length_c 9.4168
_cell_angle_alpha 79.44
_cell_angle_beta 79.44
_cell_angle_gamma 58.07
loop_
_symmetry_equiv_pos_as_xyz
'x,y,z'
loop_
_atom_site_label
_atom_site_type_symbol
_atom_site_fract_x
_atom_site_fract_y
_atom_site_fract_z
Li1 Li 0.3128 0.1609 0.8151
Li2 Li 0.5957 0.6854 0.4713
Li3 Li 0.4043 0.3146 0.5287
Li4 Li 0.6854 0.5957 0.9713
Li5 Li 0.8391 0.6872 0.6849
Li6 Li 0.2011 0.7989 0.2500
Li7 Li 0.7989 0.2011 0.7500
Li8 Li 0.1609 0.3128 0.3151
Li9 Li 0.6872 0.8391 0.1849
Li10 Li 0.3146 0.4043 0.0287
Au1 Au 0.7032 0.2968 0.2500
Au2 Au 0.2968 0.7032 0.7500
Cu1 Cu 0.0000 0.0000 0.0000
Cu2 Cu 0.0000 0.0000 0.5000
```

4.
LiAl2Cl: relaxed, GGA-PBE.

## Properties
symmetry: Pmmm
ΔE_f (raw): -0.10 eV/atom

```
data_LiAl2Cl
_chemical_formula_sum 'Li1 Al2 Cl1'
_symmetry_space_group_name_H-M 'P 1'
_symmetry_Int_Tables_number 1
_cell_length_a 3.1894
_cell_length_b 5.4496
_cell_length_c 4.9650
_cell_angle_alpha 90.00
_cell_angle_beta 90.00
_cell_angle_gamma 90.00
loop_
_symmetry_equiv_pos_as_xyz
'x,y,z'
loop_
_atom_site_label
_atom_site_type_symbol
_atom_site_fract_x
_atom_site_fract_y
_atom_site_fract_z
Li1 Li 0.5000 0.5000 0.7500
Al1 Al 0.0000 0.0000 0.9976
Al2 Al 0.0000 0.0000 0.5024
Cl1 Cl 0.5000 0.5000 0.2500
```

5.
ReHg5: relaxed, GGA-PBE.

## Properties
energy of formation from the pure elements: 1.04 eV/atom
symmetry: P6/mmm

```
data_ReHg5
_chemical_formula_sum 'Re1 Hg5'
_symmetry_space_group_name_H-M 'P 1'
_symmetry_Int_Tables_number 1
_cell_length_a 5.5039
_cell_length_b 5.5039
_cell_length_c 5.9227
_cell_angle_alpha 90.00
_cell_angle_beta 90.00
_cell_angle_gamma 120.00
loop_
_symmetry_equiv_pos_as_xyz
'x,y,z'
loop_
_atom_site_label
_atom_site_type_symbol
_atom_site_fract_x
_atom_site_fract_y
_atom_site_fract_z
Hg1 Hg 0.5000 0.0000 0.5000
Hg2 Hg 0.6667 0.3333 0.0000
Hg3 Hg 0.3333 0.6667 0.0000
Hg4 Hg 0.5000 0.5000 0.5000
Hg5 Hg 0.0000 0.5000 0.5000
Re1 Re 0.0000 0.0000 0.0000
```

6.
Ca3ReN: relaxed, GGA-PBE.

## Properties
symmetry: Pm-3m
ΔE_f (raw): 1.52 eV/atom

```
data_Ca3ReN
_chemical_formula_sum 'Ca3 Re1 N1'
_symmetry_space_group_name_H-M 'P 1'
_symmetry_Int_Tables_number 1
_cell_length_a 5.3948
_cell_length_b 5.3948
_cell_length_c 5.3948
_cell_angle_alpha 90.00
_cell_angle_beta 90.00
_cell_angle_gamma 90.00
loop_
_symmetry_equiv_pos_as_xyz
'x,y,z'
loop_
_atom_site_label
_atom_site_type_symbol
_atom_site_fract_x
_atom_site_fract_y
_atom_site_fract_z
Ca1 Ca 0.0000 0.0000 0.5000
Ca2 Ca 0.0000 0.5000 0.0000
Ca3 Ca 0.5000 0.0000 0.0000
Re1 Re 0.0000 0.0000 0.0000
N1 N 0.5000 0.5000 0.5000
```

7.
PuFe2B: relaxed, GGA-PBE.

## Properties
energy of formation from the pure elements: -0.01 eV/atom
symmetry: R-3m

```
data_PuFe2B
_chemical_formula_sum 'Pu1 Fe2 B1'
_symmetry_space_group_name_H-M 'P 1'
_symmetry_Int_Tables_number 1
_cell_length_a 3.5929
_cell_length_b 3.5929
_cell_length_c 5.2175
_cell_angle_alpha 69.86
_cell_angle_beta 69.86
_cell_angle_gamma 60.00
loop_
_symmetry_equiv_pos_as_xyz
'x,y,z'
loop_
_atom_site_label
_atom_site_type_symbol
_atom_site_fract_x
_atom_site_fract_y
_atom_site_fract_z
B1 B 0.5000 0.5000 0.5000
Pu1 Pu 0.0000 0.0000 0.0000
Fe1 Fe 0.2069 0.2069 0.3792
Fe2 Fe 0.7931 0.7931 0.6208
```

8.
Ce2HoRu: relaxed, GGA-PBE.

## Properties
energy of formation from the pure elements: -0.06 eV/atom
symmetry: R3m

```
data_Ce2HoRu
_chemical_formula_sum 'Ce2 Ho1 Ru1'
_symmetry_space_group_name_H-M 'P 1'
_symmetry_Int_Tables_number 1
_cell_length_a 3.8255
_cell_length_b 3.8255
_cell_length_c 9.1055
_cell_angle_alpha 77.87
_cell_angle_beta 77.87
_cell_angle_gamma 60.00
loop_
_symmetry_equiv_pos_as_xyz
'x,y,z'
loop_
_atom_site_label
_atom_site_type_symbol
_atom_site_fract_x
_atom_site_fract_y
_atom_site_fract_z
Ce1 Ce 0.2719 0.2719 0.1843
Ce2 Ce 0.0619 0.0619 0.8143
Ru1 Ru 0.6660 0.6660 0.0020
Ho1 Ho 0.5002 0.5002 0.4995
```

9.
PmGdAgSb: relaxed, GGA-PBE.

## Properties
symmetry: F-43m
ΔE_f (raw): -0.60 eV/atom

```
data_PmGdAgSb
_chemical_formula_sum 'Pm1 Gd1 Ag1 Sb1'
_symmetry_space_group_name_H-M 'P 1'
_symmetry_Int_Tables_number 1
_cell_length_a 5.3195
_cell_length_b 5.3195
_cell_length_c 5.3195
_cell_angle_alpha 60.00
_cell_angle_beta 60.00
_cell_angle_gamma 60.00
loop_
_symmetry_equiv_pos_as_xyz
'x,y,z'
loop_
_atom_site_label
_atom_site_type_symbol
_atom_site_fract_x
_atom_site_fract_y
_atom_site_fract_z
Sb1 Sb 0.0000 0.0000 0.0000
Ag1 Ag 0.5000 0.5000 0.5000
Pm1 Pm 0.7500 0.7500 0.7500
Gd1 Gd 0.2500 0.2500 0.2500
```

10.
NiTeCl3: relaxed, GGA-PBE.

## Properties
symmetry: Pm-3m
ΔE_f (raw): -0.02 eV/atom

```
data_NiTeCl3
_chemical_formula_sum 'Ni1 Te1 Cl3'
_symmetry_space_group_name_H-M 'P 1'
_symmetry_Int_Tables_number 1
_cell_length_a 4.6776
_cell_length_b 4.6776
_cell_length_c 4.6776
_cell_angle_alpha 90.00
_cell_angle_beta 90.00
_cell_angle_gamma 90.00
loop_
_symmetry_equiv_pos_as_xyz
'x,y,z'
loop_
_atom_site_label
_atom_site_type_symbol
_atom_site_fract_x
_atom_site_fract_y
_atom_site_fract_z
Cl1 Cl 0.0000 0.5000 0.0000
Cl2 Cl 0.5000 0.0000 0.0000
Cl3 Cl 0.0000 0.0000 0.5000
Te1 Te 0.5000 0.5000 0.5000
Ni1 Ni 0.0000 0.0000 0.0000
```

11.
Tm4GeSb: relaxed, GGA-PBE.

## Properties
symmetry: P2_1/m
ΔE_f (raw): -0.38 eV/atom

```
data_Tm4GeSb
_chemical_formula_sum 'Tm8 Ge2 Sb2'
_symmetry_space_group_name_H-M 'P 1'
_symmetry_Int_Tables_number 1
_cell_length_a 5.7706
_cell_length_b 7.4434
_cell_length_c 8.6724
_cell_angle_alpha 90.00
_cell_angle_beta 90.00
_cell_angle_gamma 105.50
loop_
_symmetry_equiv_pos_as_xyz
'x,y,z'
loop_
_atom_site_label
_atom_site_type_symbol
_atom_site_fract_x
_atom_site_fract_y
_atom_site_fract_z
Tm1 Tm 0.5866 0.5104 0.7500
Tm2 Tm 0.0211 0.2386 0.9509
Tm3 Tm 0.9789 0.7614 0.4509
Tm4 Tm 0.5657 0.0043 0.2500
Tm5 Tm 0.4134 0.4896 0.2500
Tm6 Tm 0.0211 0.2386 0.5491
Tm7 Tm 0.9789 0.7614 0.0491
Tm8 Tm 0.4343 0.9957 0.7500
Ge1 Ge 0.1003 0.0743 0.2500
Ge2 Ge 0.8997 0.9257 0.7500
Sb1 Sb 0.1155 0.5859 0.7500
Sb2 Sb 0.8845 0.4141 0.2500
```

12.
PmHo2Mg: relaxed, GGA-PBE.

## Properties
energy of formation from the pure elements: -0.03 eV/atom
symmetry: I4/mmm

```
data_PmHo2Mg
_chemical_formula_sum 'Pm2 Ho4 Mg2'
_symmetry_space_group_name_H-M 'P 1'
_symmetry_Int_Tables_number 1
_cell_length_a 5.0946
_cell_length_b 5.0946
_cell_length_c 9.9324
_cell_angle_alpha 104.83
_cell_angle_beta 104.83
_cell_angle_gamma 90.01
loop_
_symmetry_equiv_pos_as_xyz
'x,y,z'
loop_
_atom_site_label
_atom_site_type_symbol
_atom_site_fract_x
_atom_site_fract_y
_atom_site_fract_z
Ho1 Ho 0.8665 0.8665 0.2330
Ho2 Ho 0.5000 0.0000 0.5000
Ho3 Ho 0.0000 0.5000 0.5000
Ho4 Ho 0.1335 0.1335 0.7670
Pm1 Pm 0.6303 0.6303 0.7604
Pm2 Pm 0.3697 0.3697 0.2396
Mg1 Mg 0.7498 0.2502 0.0000
Mg2 Mg 0.2502 0.7498 0.0000
```

For each record above, in turn, the calculated volume values are 18.67, 9.54, 15.98, 21.57, 25.90, 31.40, 13.38, 27.99, 26.61, 20.47, 29.91, 30.04 A^3/atom.